Record 1
# PBE-GGA Y3Np2Fe4, relaxed
# Magnetization: 6.43 Bohr magnetons per cell
# Formation energy from the elements: -0.0783 eV/atom
data_Y3Np2Fe4
_symmetry_space_group_name_H-M 'C 1 2/m 1'
_symmetry_Int_Tables_number 12
_cell_length_a 10.8422
_cell_length_b 3.9949
_cell_length_c 8.4080
_cell_angle_alpha 90.00
_cell_angle_beta 103.11
_cell_angle_gamma 90.00
loop_
_symmetry_equiv_pos_as_xyz
'x,y,z'
'-x,-y,-z'
'-x,y,-z'
'x,-y,z'
'x+1/2,y+1/2,z'
'-x+1/2,-y+1/2,-z'
'-x+1/2,y+1/2,-z'
'x+1/2,-y+1/2,z'
loop_
_atom_site_label
_atom_site_fract_x
_atom_site_fract_y
_atom_site_fract_z
Y1 0.0000 0.0000 0.0000
Y2 0.1245 0.5000 0.3801
Np1 0.1730 0.5000 0.7805
Fe1 0.0905 0.0000 0.6433
Fe2 0.2338 0.5000 0.0891

=====

Record 2
# PBE-GGA Y6ThSc, relaxed
# Magnetization: 0.02 Bohr magnetons per cell
# Formation energy from the elements: 0.1666 eV/atom
data_Y6ThSc
_symmetry_space_group_name_H-M 'R -3'
_symmetry_Int_Tables_number 148
_symmetry_space_group_name_Hall '-R 3'
_cell_length_a 9.5745
_cell_length_b 9.5745
_cell_length_c 9.5239
_cell_angle_alpha 90.00
_cell_angle_beta 90.00
_cell_angle_gamma 120.00
loop_
_atom_site_label
_atom_site_fract_x
_atom_site_fract_y
_atom_site_fract_z
Y1 0.0233 0.2694 0.2100
Th1 0.0000 0.0000 0.5000
Sc1 0.0000 0.0000 0.0000

=====

Record 3
# PBE-GGA Tl4In2Hg, relaxed
# Distance to the lowest polymorph of the same formula: 0.00 eV/f.u.
# Magnetization: 0.00 Bohr magnetons per cell
# Formation energy from the elements: 0.0394 eV/atom
data_Tl4In2Hg
_symmetry_space_group_name_H-M 'C m c m'
_symmetry_Int_Tables_number 63
_symmetry_space_group_name_Hall '-C 2c 2'
_cell_length_a 5.3306
_cell_length_b 10.0300
_cell_length_c 15.8228
_cell_angle_alpha 90.00
_cell_angle_beta 90.00
_cell_angle_gamma 90.00
loop_
_atom_site_label
_atom_site_fract_x
_atom_site_fract_y
_atom_site_fract_z
Tl1 0.0000 0.0000 0.0000
Tl2 0.0000 0.2805 0.2500
Tl3 0.0000 0.3888 0.6446
In1 0.0000 0.3118 0.0528
Hg1 0.0000 0.0458 0.7500

=====

no.,VASP energy (Ry per atom),calculated volume (Å³ per cell)
1,-0.652,355
2,-0.470,756
3,-0.157,846